Record 1
# LiBeP3

An optimized crystal structure of LiBeP3 (PBE-GGA, the Alexandria database).

CIF file:
```
data_LiBeP3
_chemical_formula_sum 'Li1 Be1 P3'
_cell_length_a 4.288
_cell_length_b 4.288
_cell_length_c 4.288
_cell_angle_alpha 90.00
_cell_angle_beta 90.00
_cell_angle_gamma 90.00
_space_group_name_H-M_alt 'P 1'
_space_group_IT_number 1
loop_
_space_group_symop_operation_xyz
'x,y,z'
loop_
_atom_site_label
_atom_site_type_symbol
_atom_site_fract_x
_atom_site_fract_y
_atom_site_fract_z
_atom_site_occupancy
Li1 Li 0.000 0.000 0.000 1
Be1 Be 0.500 0.500 0.500 1
P1 P 0.000 0.000 0.500 1
P2 P 0.000 0.500 0.000 1
P3 P 0.500 0.000 0.000 1
```

Values from the calculation:
Distance to the lowest polymorph of the same formula ... 660.7 meV per atom
Density ... 2294 kg/m3


Record 2
# U2AsP3

An optimized crystal structure of U2AsP3 (PBE-GGA, the Alexandria database).

CIF file:
```
data_U2AsP3
_chemical_formula_sum 'U2 As1 P3'
_cell_length_a 3.819
_cell_length_b 3.819
_cell_length_c 7.841
_cell_angle_alpha 90.00
_cell_angle_beta 90.00
_cell_angle_gamma 90.00
_space_group_name_H-M_alt 'P 1'
_space_group_IT_number 1
loop_
_space_group_symop_operation_xyz
'x,y,z'
loop_
_atom_site_label
_atom_site_type_symbol
_atom_site_fract_x
_atom_site_fract_y
_atom_site_fract_z
_atom_site_occupancy
U1 U 0.000 0.500 0.210 1
U2 U 0.500 0.000 0.790 1
As1 As 0.000 0.000 0.500 1
P1 P 0.000 0.500 0.857 1
P2 P 0.500 0.000 0.143 1
P3 P 0.500 0.500 0.500 1
```

Values from the calculation:
Uncorrected energy ... -48.2 eV per cell
Density ... 9349 kg/m3


Record 3
# Dy2ZnGa3Pd4

An optimized crystal structure of Dy2ZnGa3Pd4 (PBE-GGA, the Alexandria database).

CIF file:
```
data_Dy2ZnGa3Pd4
_chemical_formula_sum 'Dy2 Zn1 Ga3 Pd4'
_cell_length_a 4.028
_cell_length_b 4.028
_cell_length_c 11.422
_cell_angle_alpha 90.00
_cell_angle_beta 90.00
_cell_angle_gamma 90.00
_space_group_name_H-M_alt 'P 1'
_space_group_IT_number 1
loop_
_space_group_symop_operation_xyz
'x,y,z'
loop_
_atom_site_label
_atom_site_type_symbol
_atom_site_fract_x
_atom_site_fract_y
_atom_site_fract_z
_atom_site_occupancy
Dy1 Dy 0.000 0.500 0.244 1
Dy2 Dy 0.500 0.000 0.756 1
Zn1 Zn 0.500 0.500 0.000 1
Ga1 Ga 0.000 0.000 0.000 1
Ga2 Ga 0.000 0.500 0.634 1
Ga3 Ga 0.500 0.000 0.366 1
Pd1 Pd 0.000 0.000 0.500 1
Pd2 Pd 0.000 0.500 0.853 1
Pd3 Pd 0.500 0.000 0.147 1
Pd4 Pd 0.500 0.500 0.500 1
```

Values from the calculation:
Uncorrected energy ... -47.8 eV per cell
Density ... 9185 kg/m3


Record 4
# CdSiMo2

An optimized crystal structure of CdSiMo2 (PBE-GGA, the Alexandria database).

CIF file:
```
data_CdSiMo2
_chemical_formula_sum 'Cd1 Si1 Mo2'
_cell_length_a 5.101
_cell_length_b 5.101
_cell_length_c 5.101
_cell_angle_alpha 141.75
_cell_angle_beta 125.91
_cell_angle_gamma 68.17
_space_group_name_H-M_alt 'P 1'
_space_group_IT_number 1
loop_
_space_group_symop_operation_xyz
'x,y,z'
loop_
_atom_site_label
_atom_site_type_symbol
_atom_site_fract_x
_atom_site_fract_y
_atom_site_fract_z
_atom_site_occupancy
Cd1 Cd 0.000 0.000 0.000 1
Si1 Si 0.500 0.500 0.000 1
Mo1 Mo 0.283 0.783 0.500 1
Mo2 Mo 0.717 0.217 0.500 1
```

Values from the calculation:
Distance to the lowest polymorph of the same formula ... 139.0 meV per atom
Energy relative to the elements, uncorrected ... 105 kJ/mol of formula units
Density ... 8427 kg/m3


Number 1: V 15.8 Å³ per atom. Number 2: V 19.1 Å³ per atom. Number 3: V 18.5 Å³ per atom. Number 4: V 16.4 Å³ per atom.